(1)
## Rb2SrCu (PBE)

Data for a relaxed Rb2SrCu crystal.

a b c (Å): 6.664 6.664 6.664
angles (deg): 60.00 60.00 60.00
Positions (direct):
Sr: 0.500 0.500 0.500
Cu: 0.000 0.000 0.000
Rb: 0.250 0.250 0.250
Rb: 0.750 0.750 0.750

Properties
Space-group type ... No. 225
Final energy ... -5.59 eV for the cell shown
Total magnetization ... 0.000 μB/f.u.
Volume ... 209 Å³/cell
Energy of formation from the pure elements ... 532 meV per atom
Energy relative to the lowest polymorph listed for this composition ... 0.200 eV/atom



(2)
## CsIrCl6 (PBE)

Data for a relaxed CsIrCl6 crystal.

a b c (Å): 6.445 6.445 6.524
angles (deg): 100.20 100.20 100.47
Positions (direct):
Cs: 0.500 0.500 0.500
Ir: 0.000 0.000 0.000
Cl: 0.741 0.072 0.742
Cl: 0.072 0.741 0.742
Cl: 0.928 0.259 0.258
Cl: 0.259 0.928 0.258
Cl: 0.262 0.262 0.934
Cl: 0.738 0.738 0.066

Properties
Space-group type ... No. 12
Final energy ... -27.07 eV for the cell shown
Total magnetization ... 2.046 μB/f.u.
ΔE_f (raw) ... -0.785 eV/atom
Volume ... 256 Å³/cell
Energy relative to the lowest polymorph listed for this composition ... 0.010 eV/atom



(3)
## PmScAgPb (PBE)

Data for a relaxed PmScAgPb crystal.

a b c (Å): 5.224 5.224 5.224
angles (deg): 60.00 60.00 60.00
Positions (direct):
Pb: 0.750 0.750 0.750
Sc: 0.500 0.500 0.500
Ag: 0.250 0.250 0.250
Pm: 0.000 0.000 0.000

Properties
Space-group type ... No. 216
Final energy ... -19.06 eV for the cell shown
Total magnetization ... 0.849 μB/f.u.
Volume ... 101 Å³/cell
Energy of formation from the pure elements ... -356 meV per atom



(4)
## MoRh2 (PBE)

Data for a relaxed MoRh2 crystal.

a b c (Å): 5.074 5.074 8.212
angles (deg): 90.00 90.00 120.00
Positions (direct):
Mo: 0.333 0.667 0.085
Mo: 0.333 0.667 0.415
Mo: 0.667 0.333 0.585
Mo: 0.667 0.333 0.915
Rh: 0.000 0.000 0.000
Rh: 0.000 0.000 0.500
Rh: 0.170 0.340 0.750
Rh: 0.170 0.830 0.750
Rh: 0.340 0.170 0.250
Rh: 0.660 0.830 0.750
Rh: 0.830 0.170 0.250
Rh: 0.830 0.660 0.250

Properties
Space-group type ... No. 194
Final energy ... -100.14 eV for the cell shown
Total magnetization ... 0.000 μB/f.u.
Volume ... 183 Å³/cell
Energy of formation from the pure elements ... 166 meV per atom



(5)
## RbLiHf2 (PBE)

Data for a relaxed RbLiHf2 crystal.

a b c (Å): 5.226 5.226 5.226
angles (deg): 60.00 60.00 60.00
Positions (direct):
Hf: 0.250 0.250 0.250
Hf: 0.750 0.750 0.750
Rb: 0.500 0.500 0.500
Li: 0.000 0.000 0.000

Properties
Space-group type ... No. 225
Final energy ... -17.03 eV for the cell shown
Total magnetization ... 0.000 μB/f.u.
Volume ... 101 Å³/cell
Energy of formation from the pure elements ... 1439 meV per atom
Energy relative to the lowest polymorph listed for this composition ... 0.375 eV/atom



(6)
## Li2ZnRu (PBE)

Data for a relaxed Li2ZnRu crystal.

a b c (Å): 6.768 6.768 5.404
angles (deg): 51.23 51.23 90.00
Positions (direct):
Ru: 0.000 0.000 0.000
Ru: 0.750 0.250 0.500
Zn: 0.500 0.500 0.000
Zn: 0.250 0.750 0.500
Li: 0.618 0.125 0.250
Li: 0.132 0.625 0.250
Li: 0.375 0.382 0.750
Li: 0.875 0.868 0.750

Properties
Space-group type ... No. 122
Final energy ... -25.87 eV for the cell shown
Total magnetization ... 0.600 μB/f.u.
Volume ... 115 Å³/cell
Energy of formation from the pure elements ... 361 meV per atom



Q: Which of these has the lowest final energy?
A: MoRh2